Entry 1:
Crystalline Hg6F at its relaxed geometry. Source: Alexandria, functional PBE-GGA.

Properties
SG = Im-3m, No. 229
total magnetic moment = 0.2 μB/f.u.
raw total energy = -0.5680 eV per atom
density = 6.5 Mg/m³
V = 44.42 A^3/atom

```
Hg6F
1.0
-4.268 4.268 4.268
4.268 -4.268 4.268
4.268 4.268 -4.268
Hg F
6 1
Cartesian
4.268 2.134 0.000
4.268 0.000 2.134
2.134 4.268 0.000
2.134 0.000 4.268
0.000 4.268 2.134
0.000 2.134 4.268
0.000 0.000 0.000
```

---

Entry 2:
Crystalline HgF2 at its relaxed geometry. Source: Alexandria, functional PBE-GGA.

Properties
SG = Fm-3m, No. 225
total magnetic moment = 0.0 μB/f.u.
offset from the most stable computed form = 0 meV per atom
density = 8.8 Mg/m³
V = 15.00 A^3/atom

```
HgF2
1.0
0.000 2.823 2.823
2.823 0.000 2.823
2.823 2.823 0.000
Hg F
1 2
Cartesian
0.000 0.000 0.000
1.412 1.412 1.412
4.235 4.235 4.235
```

---

Entry 3:
Crystalline HgF4 at its relaxed geometry. Source: Alexandria, functional PBE-GGA.

Properties
SG = Fdd2, No. 43
total magnetic moment = 0.0 μB/f.u.
offset from the most stable computed form = 0 meV per atom
density = 5.4 Mg/m³
V = 16.86 A^3/atom

```
HgF4
1.0
0.000 5.517 2.945
5.189 0.000 2.945
5.189 5.517 0.000
Hg F
2 8
Cartesian
0.000 0.000 0.000
2.594 2.759 1.473
5.190 4.120 1.379
7.803 4.156 3.038
7.782 6.879 2.852
5.188 6.914 1.379
2.595 4.156 2.852
5.209 4.120 4.511
2.574 6.879 3.038
5.169 6.914 4.511
```

---

Entry 4:
Crystalline HgF at its relaxed geometry. Source: Alexandria, functional PBE-GGA.

Properties
SG = Pmmn, No. 59
total magnetic moment = 0.0 μB/f.u.
offset from the most stable computed form = 213 meV per atom
density = 10.9 Mg/m³
V = 16.75 A^3/atom

```
HgF
1.0
3.429 0.000 0.000
0.000 12.389 0.000
0.000 0.000 4.731
Hg F
6 6
Cartesian
0.857 1.029 0.804
0.857 5.165 0.804
0.857 9.292 0.815
2.572 3.097 3.915
2.572 7.224 3.927
2.572 11.359 3.927
0.857 3.097 2.047
0.857 7.229 2.063
0.857 11.355 2.063
2.572 1.034 2.668
2.572 5.160 2.668
2.572 9.292 2.684
```

---

Entry 5:
Crystalline Hg2F5 at its relaxed geometry. Source: Alexandria, functional PBE-GGA.

Properties
SG = P-1, No. 2
total magnetic moment = 0.6 μB/f.u.
raw total energy = -2.6502 eV per atom
density = 7.8 Mg/m³
V = 15.12 A^3/atom

```
Hg2F5
1.0
5.337 0.000 0.000
0.067 5.911 0.000
2.264 1.143 6.711
Hg F
4 10
Cartesian
1.118 2.662 1.493
3.575 1.514 4.959
4.092 5.539 1.752
6.550 4.392 5.218
0.225 4.396 0.107
2.068 2.635 3.842
2.834 5.652 4.054
2.278 0.732 1.216
3.102 3.713 1.245
4.566 3.341 5.466
5.390 6.321 5.495
4.833 1.402 2.656
5.600 4.419 2.869
7.443 2.657 6.604
```

---

Entry 6:
Crystalline HgF at its relaxed geometry. Source: Alexandria, functional PBE-GGA.

Properties
SG = P6_3/m, No. 176
total magnetic moment = 0.0 μB/f.u.
offset from the most stable computed form = 126 meV per atom
density = 7.3 Mg/m³
V = 25.08 A^3/atom

```
HgF
1.0
9.842 0.000 0.000
-4.921 8.523 0.000
0.000 0.000 3.589
Hg F
6 6
Cartesian
-1.778 3.433 0.897
-1.058 8.347 0.897
2.084 3.257 2.691
2.837 5.266 0.897
5.979 0.176 2.691
6.699 5.090 2.691
-0.274 2.957 2.691
-2.223 7.282 2.691
2.424 1.716 0.897
2.497 6.807 2.691
7.144 1.241 0.897
5.195 5.566 0.897
```

---

Entry 7:
Crystalline HgF at its relaxed geometry. Source: Alexandria, functional PBE-GGA.

Properties
SG = I4/mmm, No. 139
total magnetic moment = 0.0 μB/f.u.
offset from the most stable computed form = 0 meV per atom
density = 9.0 Mg/m³
V = 20.22 A^3/atom

```
HgF
1.0
-1.916 1.916 5.506
1.916 -1.916 5.506
1.916 1.916 -5.506
Hg F
2 2
Cartesian
0.000 0.000 1.290
0.000 0.000 9.723
0.000 0.000 3.461
0.000 0.000 7.552
```

---

Entry 8:
Crystalline Hg3F at its relaxed geometry. Source: Alexandria, functional PBE-GGA.

Properties
SG = P2_1/m, No. 11
total magnetic moment = 0.0 μB/f.u.
offset from the most stable computed form = 0 meV per atom
density = 11.1 Mg/m³
V = 23.19 A^3/atom

```
Hg3F
1.0
5.804 0.000 0.000
0.000 5.856 0.000
-1.977 0.000 5.458
Hg F
6 2
Cartesian
0.613 1.464 0.887
0.299 4.392 3.762
0.393 1.464 3.906
3.433 4.392 1.552
3.528 1.464 1.696
3.213 4.392 4.571
0.872 4.392 1.253
2.955 1.464 4.205
```

---

Entry 9:
Crystalline Hg3F2 at its relaxed geometry. Source: Alexandria, functional PBE-GGA.

Properties
SG = Fdd2, No. 43
total magnetic moment = 0.0 μB/f.u.
raw total energy = -1.8535 eV per atom
density = 9.2 Mg/m³
V = 23.08 A^3/atom

```
Hg3F2
1.0
0.000 8.851 1.905
6.842 0.000 1.905
6.842 8.851 0.000
Hg F
6 4
Cartesian
0.000 0.000 0.000
3.284 1.784 1.096
6.705 2.641 2.048
3.421 4.426 0.953
3.558 7.067 1.096
6.979 15.061 2.048
9.067 8.790 1.915
12.488 13.338 2.867
4.618 8.912 1.915
8.039 13.216 2.867
```

---

Entry 10:
Crystalline HgF2 at its relaxed geometry. Source: Alexandria, functional PBE-GGA.

Properties
SG = P4_2/mnm, No. 136
total magnetic moment = 0.0 μB/f.u.
offset from the most stable computed form = 6 meV per atom
density = 7.5 Mg/m³
V = 17.50 A^3/atom

```
HgF2
1.0
5.264 0.000 0.000
0.000 5.264 0.000
0.000 0.000 3.789
Hg F
2 4
Cartesian
0.000 0.000 0.000
2.632 2.632 1.894
1.028 1.028 1.894
1.604 3.660 0.000
3.660 1.604 0.000
4.237 4.237 1.894
```

---

Entry 11:
Crystalline HoHgF5 at its relaxed geometry. Source: Alexandria, functional PBE-GGA.

Properties
SG = C2/c, No. 15
total magnetic moment = 0.0 μB/f.u.
raw total energy = -4.9674 eV per atom
density = 6.1 Mg/m³
V = 17.83 A^3/atom

```
HoHgF5
1.0
4.593 -3.798 0.000
4.593 3.798 0.000
-2.603 0.000 7.157
Ho Hg F
2 2 10
Cartesian
2.641 3.464 5.368
3.942 -3.464 1.789
4.593 0.000 0.000
3.291 0.000 3.578
4.406 2.567 0.284
3.478 2.567 3.295
1.381 0.308 2.504
0.080 -0.308 6.083
2.641 1.239 5.368
3.942 -1.239 1.789
6.503 0.308 1.074
5.201 -0.308 4.653
3.105 -2.567 3.862
2.176 -2.567 6.873
```

---

Entry 12:
Crystalline HoHgF3 at its relaxed geometry. Source: Alexandria, functional PBE-GGA.

Properties
SG = Pm-3m, No. 221
total magnetic moment = 0.0 μB/f.u.
offset from the most stable computed form = 18 meV per atom
density = 7.9 Mg/m³
V = 17.87 A^3/atom

```
HoHgF3
1.0
4.470 0.000 0.000
0.000 4.470 0.000
0.000 0.000 4.470
Ho Hg F
1 1 3
Cartesian
0.000 0.000 0.000
2.235 2.235 2.235
0.000 0.000 2.235
0.000 2.235 0.000
2.235 0.000 0.000
```

---

Entry 13:
Crystalline HoHgF4 at its relaxed geometry. Source: Alexandria, functional PBE-GGA.

Properties
SG = I4_1md, No. 109
total magnetic moment = 0.0 μB/f.u.
raw total energy = -4.9997 eV per atom
density = 6.4 Mg/m³
V = 19.02 A^3/atom

```
HoHgF4
1.0
-3.809 3.809 3.932
3.809 -3.809 3.932
3.809 3.809 -3.932
Ho Hg F
2 2 8
Cartesian
0.000 0.000 0.000
0.000 3.809 1.966
3.809 0.000 1.822
0.000 0.000 3.788
3.809 1.423 -0.361
2.387 3.809 -2.327
1.423 0.000 1.605
0.000 2.206 0.400
0.000 5.413 0.400
0.000 2.387 3.571
-2.206 3.809 2.366
2.206 3.809 2.366
```

---

Entry 14:
Crystalline HoHgF3 at its relaxed geometry. Source: Alexandria, functional PBE-GGA.

Properties
SG = R-3, No. 148
total magnetic moment = 0.0 μB/f.u.
offset from the most stable computed form = 0 meV per atom
density = 5.6 Mg/m³
V = 24.86 A^3/atom

```
HoHgF3
1.0
3.064 1.769 7.645
-3.064 1.769 7.645
0.000 -3.538 7.645
Ho Hg F
2 2 6
Cartesian
0.000 0.000 4.018
0.000 0.000 18.918
0.000 0.000 7.763
0.000 0.000 15.172
-1.101 -2.121 10.380
-2.387 -0.107 12.556
-1.286 2.014 10.380
1.286 -2.014 12.556
2.387 0.107 10.380
1.101 2.121 12.556
```

---

Entry 15:
Crystalline KHoHgF6 at its relaxed geometry. Source: Alexandria, functional PBE-GGA.

Properties
SG = P-31c, No. 163
total magnetic moment = 0.0 μB/f.u.
raw total energy = -4.8354 eV per atom
density = 4.9 Mg/m³
V = 19.35 A^3/atom

```
KHoHgF6
1.0
6.167 0.000 0.000
-3.084 5.341 0.000
0.000 0.000 10.573
K Ho Hg F
2 2 2 12
Cartesian
0.000 0.000 0.000
0.000 0.000 5.286
0.000 3.561 2.643
3.084 1.780 7.929
0.000 3.561 7.929
3.084 1.780 2.643
-1.042 2.019 1.492
-1.856 3.429 3.795
1.042 2.019 3.795
-0.814 5.234 1.492
2.269 0.107 6.778
1.227 1.912 9.081
1.856 3.429 1.492
0.814 5.234 3.795
3.898 0.107 9.081
2.042 3.322 6.778
4.940 1.912 6.778
4.125 3.322 9.081
```

---

Entry 16:
Crystalline KHoHg2F8 at its relaxed geometry. Source: Alexandria, functional PBE-GGA.

Properties
SG = P2/m, No. 10
total magnetic moment = 0.0 μB/f.u.
raw total energy = -4.3171 eV per atom
density = 6.8 Mg/m³
V = 15.41 A^3/atom

```
KHoHg2F8
1.0
4.020 0.000 0.000
0.000 8.033 0.000
-0.010 0.000 5.724
K Ho Hg F
1 1 2 8
Cartesian
0.000 0.000 0.000
0.000 4.017 0.000
2.005 1.928 2.862
2.005 6.105 2.862
0.000 2.297 1.441
0.000 5.737 1.441
2.000 0.000 4.170
2.000 4.017 4.467
2.011 0.000 1.554
2.010 4.017 1.257
4.010 2.297 4.284
4.010 5.737 4.284
```

---

Entry 17:
Crystalline NaHoHgF6 at its relaxed geometry. Source: Alexandria, functional PBE-GGA.

Properties
SG = P-31c, No. 163
total magnetic moment = 0.0 μB/f.u.
raw total energy = -4.8134 eV per atom
density = 5.6 Mg/m³
V = 16.41 A^3/atom

```
NaHoHgF6
1.0
6.017 0.000 0.000
-3.009 5.211 0.000
0.000 0.000 9.420
Na Ho Hg F
2 2 2 12
Cartesian
0.000 0.000 0.000
0.000 0.000 4.710
0.000 3.474 2.355
3.009 1.737 7.065
0.000 3.474 7.065
3.009 1.737 2.355
-0.945 1.852 1.227
-1.877 3.467 3.483
0.945 1.852 3.483
-0.933 5.103 1.227
2.076 0.108 5.937
1.131 1.744 8.193
1.877 3.467 1.227
0.933 5.103 3.483
3.941 0.108 8.193
2.064 3.359 5.937
4.886 1.744 5.937
3.953 3.359 8.193
```

---

Entry 18:
Crystalline HoHgPbF6 at its relaxed geometry. Source: Alexandria, functional PBE-GGA.

Properties
SG = P-31c, No. 163
total magnetic moment = 1.0 μB/f.u.
raw total energy = -4.9438 eV per atom
density = 6.5 Mg/m³
V = 19.44 A^3/atom

```
HoHgPbF6
1.0
6.268 0.000 0.000
-3.134 5.428 0.000
0.000 0.000 10.282
Ho Hg Pb F
2 2 2 12
Cartesian
0.000 3.619 2.571
3.134 1.809 7.712
0.000 3.619 7.712
3.134 1.809 2.571
0.000 0.000 0.000
0.000 0.000 5.141
-0.754 1.968 1.344
-1.807 3.792 3.797
0.754 1.968 3.797
-1.053 5.097 1.344
2.081 0.331 6.485
1.327 1.636 8.938
1.807 3.792 1.344
1.053 5.097 3.797
4.187 0.331 8.938
2.381 3.461 6.485
4.941 1.636 6.485
3.888 3.461 8.938
```

---

Entry 19:
Crystalline RbHoHgF6 at its relaxed geometry. Source: Alexandria, functional PBE-GGA.

Properties
SG = P-31c, No. 163
total magnetic moment = 0.0 μB/f.u.
raw total energy = -4.8221 eV per atom
density = 5.0 Mg/m³
V = 20.87 A^3/atom

```
RbHoHgF6
1.0
6.198 0.000 0.000
-3.099 5.367 0.000
0.000 0.000 11.294
Rb Ho Hg F
2 2 2 12
Cartesian
0.000 0.000 0.000
0.000 0.000 5.647
0.000 3.578 2.823
3.099 1.789 8.470
0.000 3.578 8.470
3.099 1.789 2.823
-1.078 2.080 1.648
-1.836 3.394 3.999
1.078 2.080 3.999
-0.759 5.261 1.648
2.340 0.107 7.295
1.262 1.973 9.645
1.836 3.394 1.648
0.759 5.261 3.999
3.858 0.107 9.645
2.021 3.287 7.295
4.935 1.973 7.295
4.177 3.287 9.645
```

---

Entry 20:
Crystalline HoTl2HgF6 at its relaxed geometry. Source: Alexandria, functional PBE-GGA.

Properties
SG = Pmmn, No. 59
total magnetic moment = 0.9 μB/f.u.
raw total energy = -4.5594 eV per atom
density = 6.8 Mg/m³
V = 21.63 A^3/atom

```
HoTl2HgF6
1.0
6.579 0.000 0.000
0.000 9.404 0.000
0.000 0.000 6.993
Ho Tl Hg F
2 4 2 12
Cartesian
1.645 2.351 1.667
4.934 7.053 5.325
1.645 5.047 5.648
1.645 9.059 5.648
4.934 0.345 1.345
4.934 4.357 1.345
1.645 7.053 1.995
4.934 2.351 4.998
0.051 7.053 6.744
0.080 2.351 3.137
1.645 0.208 1.290
1.645 4.494 1.290
3.209 2.351 3.137
3.238 7.053 6.744
3.341 2.351 0.249
3.370 7.053 3.856
4.934 4.910 5.703
4.934 9.196 5.703
6.498 7.053 3.856
6.527 2.351 0.249
```

---

Entry 21:
Crystalline HgIF2 at its relaxed geometry. Source: Alexandria, functional PBE-GGA.

Properties
SG = R-3m, No. 166
total magnetic moment = 0.0 μB/f.u.
offset from the most stable computed form = 184 meV per atom
density = 6.3 Mg/m³
V = 24.06 A^3/atom

```
HgIF2
1.0
1.778 1.027 8.785
-1.778 1.027 8.785
0.000 -2.053 8.785
Hg I F
1 1 2
Cartesian
0.000 0.000 0.000
0.000 0.000 13.178
0.000 0.000 11.130
0.000 0.000 15.226
```